Entry one
Below is crystalline Co9Sn at its relaxed geometry, with properties calculated at the PBE level.

It has space group Pmmn (No. 59, origin choice 2), with a = 2.538 Å, b = 3.436 Å, c = 37.993 Å, α = 90.00°, β = 90.00° and γ = 90.00°. Symmetry generates all atoms from Co at (0.250, 0.250, 0.016), Co at (0.250, 0.250, 0.081), Co at (0.250, 0.250, 0.145), Co at (0.250, 0.250, 0.209), Co at (0.250, 0.250, 0.273), Co at (0.250, 0.250, 0.758), Co at (0.250, 0.250, 0.822), Co at (0.250, 0.250, 0.887), Co at (0.250, 0.250, 0.952) and Sn at (0.250, 0.250, 0.682).

For the spin magnetization, the calculation gives 14.17 μB per formula unit.


Entry two
Below is crystalline Co9Sn at its relaxed geometry, with properties calculated at the PBE level.

It has space group P4/nmm (No. 129, origin choice 2), with a = 2.664 Å, b = 2.664 Å, c = 43.692 Å, α = 90.00°, β = 90.00° and γ = 90.00°. Symmetry generates all atoms from Co at (0.250, 0.250, 0.018), Co at (0.250, 0.250, 0.090), Co at (0.250, 0.250, 0.162), Co at (0.250, 0.250, 0.234), Co at (0.250, 0.250, 0.305), Co at (0.250, 0.250, 0.730), Co at (0.250, 0.250, 0.802), Co at (0.250, 0.250, 0.874), Co at (0.250, 0.250, 0.946) and Sn at (0.250, 0.250, 0.647).

For the spin magnetization, the calculation gives 14.81 μB per formula unit.


entry one wins, 32 meV/atom ahead of the next structure.